<w>
First-principles (PBE) data for LiZn3Ga3 after structural relaxation, as listed in the Alexandria database.

As for the density of states at the Fermi level: 1.6 states/eV/f.u. The value obtained for the magnetic moment is 0.000 μB/atom.

abc: 4.0512 7.3068 8.8094
angles: 114.75 90.00 90.00
Atoms (fractional coordinates):
Zn: 0.2500 0.1364 0.0084
Zn: 0.2500 0.7580 0.7474
Zn: 0.2500 0.9728 0.2376
Zn: 0.7500 0.0272 0.7624
Zn: 0.7500 0.8636 0.9916
Zn: 0.7500 0.2420 0.2526
Li: 0.7500 0.4197 0.7244
Li: 0.2500 0.5803 0.2756
Ga: 0.2500 0.1058 0.6052
Ga: 0.7500 0.3978 0.0266
Ga: 0.2500 0.6022 0.9734
Ga: 0.7500 0.6225 0.5135
Ga: 0.2500 0.3775 0.4865
Ga: 0.7500 0.8942 0.3948

<x>
First-principles (PBE) data for LiZn3Ga3 after structural relaxation, as listed in the Alexandria database.

As for the density of states at the Fermi level: 4.9 states/eV/f.u. The value obtained for the magnetic moment is 0.000 μB/atom.

abc: 7.0941 7.0941 7.0941
angles: 90.00 90.00 90.00
Atoms (fractional coordinates):
Ga: 0.0000 0.5000 0.7500
Ga: 0.5000 0.2500 0.0000
Ga: 0.2500 0.0000 0.5000
Ga: 0.5000 0.7500 0.0000
Ga: 0.7500 0.0000 0.5000
Ga: 0.0000 0.5000 0.2500
Zn: 0.2500 0.5000 0.0000
Zn: 0.5000 0.0000 0.2500
Zn: 0.7500 0.5000 0.0000
Zn: 0.0000 0.2500 0.5000
Zn: 0.0000 0.7500 0.5000
Zn: 0.5000 0.0000 0.7500
Li: 0.5000 0.5000 0.5000
Li: 0.0000 0.0000 0.0000

The most stable arrangement is <w>, and the next structure is 0.361 eV/atom less stable.

<w>
First-principles (PBE) data for LiZn3Ga2 after structural relaxation, as listed in the Alexandria database.

As for the density of states at the Fermi level: 1.5 states/eV/f.u. The value obtained for the magnetic moment is 0.000 μB/atom.

abc: 3.9499 8.0097 7.4616
angles: 122.46 105.35 90.00
Atoms (fractional coordinates):
Ga: 0.3331 0.8331 0.6662
Ga: 0.6669 0.1669 0.3338
Ga: 0.6669 0.6669 0.3338
Ga: 0.3331 0.3331 0.6662
Li: 0.0000 0.0000 0.0000
Li: 0.0000 0.5000 0.0000
Zn: 0.5000 0.2500 0.0000
Zn: 0.8365 0.5865 0.6731
Zn: 0.1635 0.9135 0.3269
Zn: 0.1635 0.4135 0.3269
Zn: 0.8365 0.0865 0.6731
Zn: 0.5000 0.7500 0.0000

<x>
First-principles (PBE) data for LiZn3Ga2 after structural relaxation, as listed in the Alexandria database.

As for the density of states at the Fermi level: 1.3 states/eV/f.u. The value obtained for the magnetic moment is 0.000 μB/atom.

abc: 4.1689 7.6589 7.8516
angles: 120.82 90.00 105.79
Atoms (fractional coordinates):
Zn: 0.3167 0.6334 0.1106
Zn: 0.6836 0.3672 0.4776
Zn: 0.6833 0.3666 0.8894
Zn: 0.9999 0.9997 0.6616
Zn: 0.0001 0.0003 0.3384
Zn: 0.3164 0.6328 0.5224
Li: 0.1249 0.2498 0.1244
Li: 0.8751 0.7502 0.8756
Ga: 0.8041 0.6083 0.3039
Ga: 0.4998 0.9996 0.8434
Ga: 0.1959 0.3917 0.6961
Ga: 0.5002 0.0004 0.1566

The most stable arrangement is <x>, and the next structure is 0.007 eV/atom less stable.